1.
CdOs2Au: PBEsol geometry, meta-GGA SCAN.

a b c (Å): 2.7782 4.6860 5.6035
angles (deg): 114.56 104.10 90.59
Fractional positions:
Os (0.0000, 0.0000, 0.5000)
Os (0.5000, 0.5000, 0.5000)
Au (0.5000, 0.0000, 0.0000)
Cd (0.0000, 0.5000, 0.0000)

Properties
ρ = 17944 kg/m³
Density of states at the Fermi level = 3.8 states/eV/f.u.
E_tot = -60.123 eV/atom
Formation energy = 0.71 eV/atom

=====

2.
CdOs2Au: PBEsol geometry, meta-GGA SCAN.

a b c (Å): 2.7935 4.7759 5.6269
angles (deg): 115.11 104.37 90.00
Fractional positions:
Au (0.4874, 0.4874, 0.9748)
Os (0.7312, 0.2312, 0.4624)
Os (0.0211, 0.0211, 0.0422)
Cd (0.2603, 0.7603, 0.5206)

Properties
ρ = 17523 kg/m³
Density of states at the Fermi level = 2.4 states/eV/f.u.
E_tot = -60.171 eV/atom
Formation energy = 0.66 eV/atom

=====

3.
Cd2OsAu: PBEsol geometry, meta-GGA SCAN.

a b c (Å): 2.7658 4.2659 5.7885
angles (deg): 90.00 90.00 90.00
Fractional positions:
Au (0.5000, 0.5000, 0.7489)
Cd (0.5000, 0.5000, 0.2675)
Cd (0.0000, 0.0000, 0.9902)
Os (0.0000, 0.0000, 0.4934)

Properties
ΔE to the lowest computed polymorph = 113.1 meV/atom
ρ = 14880 kg/m³
Density of states at the Fermi level = 1.8 states/eV/f.u.
E_tot = -50.040 eV/atom
Formation energy = 0.43 eV/atom

=====

4.
CdOs2Au: PBEsol geometry, meta-GGA SCAN.

a b c (Å): 4.0333 4.0333 4.7781
angles (deg): 114.96 114.96 90.00
Fractional positions:
Os (0.7500, 0.2500, 0.5000)
Os (0.0000, 0.0000, 0.0000)
Au (0.5000, 0.5000, 0.0000)
Cd (0.2500, 0.7500, 0.5000)

Properties
ρ = 18368 kg/m³
Density of states at the Fermi level = 3.3 states/eV/f.u.
E_tot = -60.139 eV/atom
Formation energy = 0.69 eV/atom

=====

5.
CdOsAu3: PBEsol geometry, meta-GGA SCAN.

a b c (Å): 4.9426 4.9426 4.9426
angles (deg): 90.00 90.00 90.00
Each line ends with the local moment (μB).
Fractional positions:
Au (0.0000, 0.5000, 0.0000)  0.21
Au (0.0000, 0.0000, 0.5000)  0.21
Au (0.5000, 0.0000, 0.0000)  0.21
Os (0.0000, 0.0000, 0.0000)  1.73
Cd (0.5000, 0.5000, 0.5000)  0.14

Properties
ρ = 12288 kg/m³
Density of states at the Fermi level = 2.9 states/eV/f.u.
E_tot = -60.877 eV/atom
Formation energy = 1.08 eV/atom

=====

6.
TlCd2OsAu: PBEsol geometry, meta-GGA SCAN.

a b c (Å): 5.0939 5.1076 5.1076
angles (deg): 90.00 90.00 90.00
Each line ends with the local moment (μB).
Fractional positions:
Cd (0.0000, 0.5000, 0.0000)  0.01
Cd (0.0000, 0.0000, 0.5000)  0.01
Au (0.5000, 0.5000, 0.5000)  0.04
Tl (0.5000, 0.0000, 0.0000)  -0.01
Os (0.0000, 0.0000, 0.0000)  0.61

Properties
ρ = 10202 kg/m³
Density of states at the Fermi level = 3.9 states/eV/f.u.
E_tot = -53.925 eV/atom
Formation energy = 0.92 eV/atom

=====

7.
CdP2Au2: PBEsol geometry, meta-GGA SCAN.

a b c (Å): 3.2919 3.2919 8.3745
angles (deg): 101.33 101.33 90.00
Fractional positions:
Au (0.3971, 0.3971, 0.7942)
Au (0.6029, 0.6029, 0.2058)
P (0.2500, 0.7500, 0.5000)
P (0.7500, 0.2500, 0.5000)
Cd (0.0000, 0.0000, 0.0000)

Properties
ρ = 10825 kg/m³
Density of states at the Fermi level = 1.9 states/eV/f.u.
E_tot = -37.675 eV/atom
Formation energy = 0.23 eV/atom

=====

8.
CdPAu2: PBEsol geometry, meta-GGA SCAN.

a b c (Å): 3.7420 4.3330 5.1414
angles (deg): 114.92 111.34 90.00
Fractional positions:
Au (0.7398, 0.2398, 0.4796)
Au (0.9835, 0.9835, 0.9670)
P (0.2691, 0.7691, 0.5382)
Cd (0.5076, 0.5076, 0.0153)

Properties
ΔE to the lowest computed polymorph = 93.7 meV/atom
ρ = 12885 kg/m³
Density of states at the Fermi level = 1.4 states/eV/f.u.
E_tot = -44.608 eV/atom
Formation energy = 0.17 eV/atom